# Li2Be2Ag | the Alexandria database | PBE | relaxed
data_Li2Be2Ag
_chemical_formula_sum 'Li4 Be4 Ag2'
_cell_length_a 3.3499
_cell_length_b 3.3499
_cell_length_c 11.9336
_cell_angle_alpha 90.00
_cell_angle_beta 90.00
_cell_angle_gamma 90.00
_space_group_name_H-M_alt 'I 4/m m m'
_space_group_IT_number 139
_space_group_name_Hall '-I 4 2'
loop_
_atom_site_label
_atom_site_type_symbol
_atom_site_fract_x
_atom_site_fract_y
_atom_site_fract_z
Li1 Li 0.0000 0.5000 0.2500
Be1 Be 0.0000 0.0000 0.0890
Ag1 Ag 0.0000 0.0000 0.5000
# excess energy over the best structure of this formula in the dataset	17.1	kJ/mol of atoms
# E_form	2.0	eV per formula unit
# magnetic moment	0.00	Bohr magnetons per cell

# LiBe2Ag2 | the Alexandria database | PBE | relaxed
data_LiBe2Ag2
_chemical_formula_sum 'Li2 Be4 Ag4'
_cell_length_a 6.9996
_cell_length_b 6.9996
_cell_length_c 2.8050
_cell_angle_alpha 90.00
_cell_angle_beta 90.00
_cell_angle_gamma 90.00
_space_group_name_H-M_alt 'P 4/m b m'
_space_group_IT_number 127
_space_group_name_Hall '-P 4 2ab'
loop_
_atom_site_label
_atom_site_type_symbol
_atom_site_fract_x
_atom_site_fract_y
_atom_site_fract_z
Li1 Li 0.0000 0.0000 0.0000
Be1 Be 0.1341 0.3659 0.5000
Ag1 Ag 0.1603 0.6603 0.0000
# excess energy over the best structure of this formula in the dataset	5.9	kJ/mol of atoms
# E_form	0.5	eV per formula unit
# magnetic moment	0.00	Bohr magnetons per cell

# Li4Be2Ag | the Alexandria database | PBE | relaxed
data_Li4Be2Ag
_chemical_formula_sum 'Li8 Be4 Ag2'
_cell_length_a 4.6873
_cell_length_b 4.6873
_cell_length_c 12.4857
_cell_angle_alpha 90.00
_cell_angle_beta 90.00
_cell_angle_gamma 90.00
_space_group_name_H-M_alt 'I 4/m m m'
_space_group_IT_number 139
_space_group_name_Hall '-I 4 2'
loop_
_atom_site_label
_atom_site_type_symbol
_atom_site_fract_x
_atom_site_fract_y
_atom_site_fract_z
Li1 Li 0.0000 0.0000 0.2068
Li2 Li 0.0000 0.5000 0.0000
Be1 Be 0.0000 0.0000 0.4171
Ag1 Ag 0.0000 0.0000 0.0000
# E_form	3.6	eV per formula unit
# magnetic moment	0.00	Bohr magnetons per cell

# LiBeAgN2 | the Alexandria database | PBE | relaxed
data_LiBeAgN2
_chemical_formula_sum 'Li1 Be1 Ag1 N2'
_cell_length_a 3.6324
_cell_length_b 3.6324
_cell_length_c 4.2742
_cell_angle_alpha 90.00
_cell_angle_beta 90.00
_cell_angle_gamma 90.00
_space_group_name_H-M_alt 'P 4/m m m'
_space_group_IT_number 123
_space_group_name_Hall '-P 4 2'
loop_
_atom_site_label
_atom_site_type_symbol
_atom_site_fract_x
_atom_site_fract_y
_atom_site_fract_z
Li1 Li 0.0000 0.0000 0.0000
Be1 Be 0.5000 0.5000 0.5000
Ag1 Ag 0.0000 0.0000 0.5000
N1 N 0.0000 0.5000 0.0000
# magnetic moment	0.00	Bohr magnetons per cell
# E_form (uncorrected)	1.68	eV/atom

# LiBeAgRh | the Alexandria database | PBE | relaxed
data_LiBeAgRh
_chemical_formula_sum 'Li4 Be4 Ag4 Rh4'
_cell_length_a 5.8113
_cell_length_b 5.8113
_cell_length_c 5.8113
_cell_angle_alpha 90.00
_cell_angle_beta 90.00
_cell_angle_gamma 90.00
_space_group_name_H-M_alt 'F -4 3 m'
_space_group_IT_number 216
_space_group_name_Hall 'F -4 2 3'
loop_
_atom_site_label
_atom_site_type_symbol
_atom_site_fract_x
_atom_site_fract_y
_atom_site_fract_z
Li1 Li 0.0000 0.0000 0.0000
Be1 Be 0.0000 0.0000 0.5000
Ag1 Ag 0.2500 0.2500 0.2500
Rh1 Rh 0.2500 0.2500 0.7500
# E_form	-0.9	eV per formula unit
# magnetic moment	0.00	Bohr magnetons per cell

# LiBe2AgS | the Alexandria database | PBE | relaxed
data_LiBe2AgS
_chemical_formula_sum 'Li1 Be2 Ag1 S1'
_cell_length_a 4.1091
_cell_length_b 4.1091
_cell_length_c 4.4213
_cell_angle_alpha 90.00
_cell_angle_beta 90.00
_cell_angle_gamma 90.00
_space_group_name_H-M_alt 'P 4/m m m'
_space_group_IT_number 123
_space_group_name_Hall '-P 4 2'
loop_
_atom_site_label
_atom_site_type_symbol
_atom_site_fract_x
_atom_site_fract_y
_atom_site_fract_z
Li1 Li 0.0000 0.0000 0.0000
Be1 Be 0.0000 0.5000 0.5000
Ag1 Ag 0.5000 0.5000 0.0000
S1 S 0.0000 0.0000 0.5000
# magnetic moment	0.00	Bohr magnetons per cell
# E_form (uncorrected)	0.25	eV/atom

# LiBeSiAg | the Alexandria database | PBE | relaxed
data_LiBeSiAg
_chemical_formula_sum 'Li4 Be4 Si4 Ag4'
_cell_length_a 5.9542
_cell_length_b 5.9542
_cell_length_c 5.9542
_cell_angle_alpha 90.00
_cell_angle_beta 90.00
_cell_angle_gamma 90.00
_space_group_name_H-M_alt 'F -4 3 m'
_space_group_IT_number 216
_space_group_name_Hall 'F -4 2 3'
loop_
_atom_site_label
_atom_site_type_symbol
_atom_site_fract_x
_atom_site_fract_y
_atom_site_fract_z
Li1 Li 0.0000 0.0000 0.0000
Be1 Be 0.0000 0.0000 0.5000
Si1 Si 0.2500 0.2500 0.7500
Ag1 Ag 0.2500 0.2500 0.2500
# magnetic moment	0.00	Bohr magnetons per cell
# E_form (uncorrected)	0.08	eV/atom

# LiBeAgSn | the Alexandria database | PBE | relaxed
data_LiBeAgSn
_chemical_formula_sum 'Li4 Be4 Ag4 Sn4'
_cell_length_a 6.3325
_cell_length_b 6.3325
_cell_length_c 6.3325
_cell_angle_alpha 90.00
_cell_angle_beta 90.00
_cell_angle_gamma 90.00
_space_group_name_H-M_alt 'F -4 3 m'
_space_group_IT_number 216
_space_group_name_Hall 'F -4 2 3'
loop_
_atom_site_label
_atom_site_type_symbol
_atom_site_fract_x
_atom_site_fract_y
_atom_site_fract_z
Li1 Li 0.0000 0.0000 0.0000
Be1 Be 0.0000 0.0000 0.5000
Ag1 Ag 0.2500 0.2500 0.7500
Sn1 Sn 0.2500 0.2500 0.2500
# E_form	0.1	eV per formula unit
# magnetic moment	0.00	Bohr magnetons per cell

# LiBeTcAg2 | the Alexandria database | PBE | relaxed
data_LiBeTcAg2
_chemical_formula_sum 'Li1 Be1 Tc1 Ag2'
_cell_length_a 5.1366
_cell_length_b 5.1366
_cell_length_c 4.2872
_cell_angle_alpha 90.00
_cell_angle_beta 90.00
_cell_angle_gamma 90.00
_space_group_name_H-M_alt 'P 4/m m m'
_space_group_IT_number 123
_space_group_name_Hall '-P 4 2'
loop_
_atom_site_label
_atom_site_type_symbol
_atom_site_fract_x
_atom_site_fract_y
_atom_site_fract_z
Li1 Li 0.0000 0.0000 0.0000
Be1 Be 0.5000 0.5000 0.0000
Tc1 Tc 0.5000 0.5000 0.5000
Ag1 Ag 0.0000 0.5000 0.5000
# E_form	5.4	eV per formula unit
# magnetic moment	1.62	Bohr magnetons per cell

# LiYBe2Ag | the Alexandria database | PBE | relaxed
data_LiYBe2Ag
_chemical_formula_sum 'Li1 Y1 Be2 Ag1'
_cell_length_a 4.5265
_cell_length_b 4.5265
_cell_length_c 5.3314
_cell_angle_alpha 90.00
_cell_angle_beta 90.00
_cell_angle_gamma 90.00
_space_group_name_H-M_alt 'P 4/m m m'
_space_group_IT_number 123
_space_group_name_Hall '-P 4 2'
loop_
_atom_site_label
_atom_site_type_symbol
_atom_site_fract_x
_atom_site_fract_y
_atom_site_fract_z
Li1 Li 0.0000 0.0000 0.0000
Y1 Y 0.5000 0.5000 0.0000
Be1 Be 0.0000 0.5000 0.5000
Ag1 Ag 0.5000 0.5000 0.5000
# E_form	3.2	eV per formula unit
# magnetic moment	0.00	Bohr magnetons per cell

# LiYBeAg2 | the Alexandria database | PBE | relaxed
data_LiYBeAg2
_chemical_formula_sum 'Li1 Y1 Be1 Ag2'
_cell_length_a 5.5676
_cell_length_b 5.5676
_cell_length_c 5.2278
_cell_angle_alpha 90.00
_cell_angle_beta 90.00
_cell_angle_gamma 90.00
_space_group_name_H-M_alt 'P 4/m m m'
_space_group_IT_number 123
_space_group_name_Hall '-P 4 2'
loop_
_atom_site_label
_atom_site_type_symbol
_atom_site_fract_x
_atom_site_fract_y
_atom_site_fract_z
Li1 Li 0.0000 0.0000 0.0000
Y1 Y 0.5000 0.5000 0.5000
Be1 Be 0.5000 0.5000 0.0000
Ag1 Ag 0.0000 0.5000 0.5000
# E_form	5.0	eV per formula unit
# magnetic moment	0.00	Bohr magnetons per cell

# Lu2BeAg | the Alexandria database | PBE | relaxed
data_Lu2BeAg
_chemical_formula_sum 'Lu8 Be4 Ag4'
_cell_length_a 6.9382
_cell_length_b 6.9382
_cell_length_c 6.9382
_cell_angle_alpha 90.00
_cell_angle_beta 90.00
_cell_angle_gamma 90.00
_space_group_name_H-M_alt 'F m -3 m'
_space_group_IT_number 225
_space_group_name_Hall '-F 4 2 3'
loop_
_atom_site_label
_atom_site_type_symbol
_atom_site_fract_x
_atom_site_fract_y
_atom_site_fract_z
Lu1 Lu 0.2500 0.2500 0.2500
Be1 Be 0.0000 0.0000 0.0000
Ag1 Ag 0.0000 0.0000 0.5000
# excess energy over the best structure of this formula in the dataset	4.4	kJ/mol of atoms
# E_form	-0.4	eV per formula unit
# magnetic moment	0.00	Bohr magnetons per cell

# Lu2BeAg | the Alexandria database | PBE | relaxed
data_Lu2BeAg
_chemical_formula_sum 'Lu2 Be1 Ag1'
_cell_length_a 3.4199
_cell_length_b 3.4199
_cell_length_c 7.0056
_cell_angle_alpha 90.00
_cell_angle_beta 90.00
_cell_angle_gamma 90.00
_space_group_name_H-M_alt 'P 4/m m m'
_space_group_IT_number 123
_space_group_name_Hall '-P 4 2'
loop_
_atom_site_label
_atom_site_type_symbol
_atom_site_fract_x
_atom_site_fract_y
_atom_site_fract_z
Lu1 Lu 0.0000 0.0000 0.2304
Be1 Be 0.5000 0.5000 0.0000
Ag1 Ag 0.5000 0.5000 0.5000
# excess energy over the best structure of this formula in the dataset	0.0	kJ/mol of atoms
# E_form	-0.6	eV per formula unit
# magnetic moment	0.00	Bohr magnetons per cell

# LuMgBeAg | the Alexandria database | PBE | relaxed
data_LuMgBeAg
_chemical_formula_sum 'Lu4 Mg4 Be4 Ag4'
_cell_length_a 6.6806
_cell_length_b 6.6806
_cell_length_c 6.6806
_cell_angle_alpha 90.00
_cell_angle_beta 90.00
_cell_angle_gamma 90.00
_space_group_name_H-M_alt 'F -4 3 m'
_space_group_IT_number 216
_space_group_name_Hall 'F -4 2 3'
loop_
_atom_site_label
_atom_site_type_symbol
_atom_site_fract_x
_atom_site_fract_y
_atom_site_fract_z
Lu1 Lu 0.0000 0.0000 0.0000
Mg1 Mg 0.0000 0.0000 0.5000
Be1 Be 0.2500 0.2500 0.2500
Ag1 Ag 0.2500 0.2500 0.7500
# E_form	-0.2	eV per formula unit
# magnetic moment	0.00	Bohr magnetons per cell